Entry from Alexandria via LeMat-Bulk: a PBEsol-optimized structure of MnTl2Pt (SCAN).

a b c (Å): 4.7252 4.7252 4.7252
angles (deg): 60.00 60.00 60.00
Site moments in Bohr magnetons follow the coordinates.
Atoms (fractional coordinates):
Tl (0.2500, 0.2500, 0.2500)  -0.04
Tl (0.7500, 0.7500, 0.7500)  -0.04
Mn (0.0000, 0.0000, 0.0000)  4.12
Pt (0.5000, 0.5000, 0.5000)  0.06

Computed properties:
The excess energy over the best structure of this formula in the dataset is 0.2572 eV/atom. For the electronic total energy, the calculation gives -58.16 eV/atom. The value obtained for the formation energy is 0.1298 eV/atom. Its magnetic moment is 4.2 μB per formula unit. The volume comes out at 75 Å³/cell. The space group is Fm-3m (225).

***

Entry from Alexandria via LeMat-Bulk: a PBEsol-optimized structure of MnTlPt (SCAN).

a b c (Å): 4.4161 4.4161 4.4161
angles (deg): 60.00 60.00 60.00
Site moments in Bohr magnetons follow the coordinates.
Atoms (fractional coordinates):
Mn (0.5000, 0.5000, 0.5000)  4.27
Pt (0.2500, 0.2500, 0.2500)  0.07
Tl (0.0000, 0.0000, 0.0000)  -0.05

Computed properties:
The excess energy over the best structure of this formula in the dataset is 0.0000 eV/atom. For the electronic total energy, the calculation gives -53.84 eV/atom. The value obtained for the formation energy is -0.2350 eV/atom. Its magnetic moment is 4.4 μB per formula unit. The volume comes out at 61 Å³/cell. The space group is F-43m (216).

***

Entry from Alexandria via LeMat-Bulk: a PBEsol-optimized structure of MnTl2Pt (SCAN).

a b c (Å): 3.2685 4.6234 5.1783
angles (deg): 90.00 92.07 90.00
Site moments in Bohr magnetons follow the coordinates.
Atoms (fractional coordinates):
Mn (0.5000, 0.5000, 0.0000)  4.15
Pt (0.0000, 0.5000, 0.5000)  0.03
Tl (0.7598, 0.0000, 0.7501)  -0.04
Tl (0.2402, 0.0000, 0.2499)  -0.04

Computed properties:
The excess energy over the best structure of this formula in the dataset is 0.2639 eV/atom. For the electronic total energy, the calculation gives -58.15 eV/atom. The value obtained for the formation energy is 0.1364 eV/atom. Its magnetic moment is 4.2 μB per formula unit. The volume comes out at 78 Å³/cell. The space group is P2/m (10).

***

Entry from Alexandria via LeMat-Bulk: a PBEsol-optimized structure of Mn2PtW (SCAN).

a b c (Å): 3.7012 3.7012 4.6247
angles (deg): 113.59 113.59 90.00
Site moments in Bohr magnetons follow the coordinates.
Atoms (fractional coordinates):
Mn (0.0000, 0.0000, 0.0000)  2.77
Mn (0.7500, 0.2500, 0.5000)  -2.71
Pt (0.5000, 0.5000, 0.0000)  0.06
W (0.2500, 0.7500, 0.5000)  0.03

Computed properties:
The excess energy over the best structure of this formula in the dataset is 0.1201 eV/atom. For the electronic total energy, the calculation gives -44.35 eV/atom. The value obtained for the formation energy is -0.2514 eV/atom. Its magnetic moment is 0.2 μB per formula unit. The volume comes out at 52 Å³/cell. The space group is I-4m2 (119).

***

Entry from Alexandria via LeMat-Bulk: a PBEsol-optimized structure of MnPtW2 (SCAN).

a b c (Å): 2.6718 4.4063 4.8883
angles (deg): 90.00 93.87 90.00
Site moments in Bohr magnetons follow the coordinates.
Atoms (fractional coordinates):
Mn (0.3895, 0.0000, 0.4647)  2.73
Pt (0.3748, 0.5000, 0.7738)  0.00
W (0.9424, 0.0000, 0.9739)  -0.11
W (0.7933, 0.5000, 0.2877)  -0.18

Computed properties:
The excess energy over the best structure of this formula in the dataset is 0.0906 eV/atom. For the electronic total energy, the calculation gives -57.02 eV/atom. The value obtained for the formation energy is -0.0652 eV/atom. Its magnetic moment is 2.5 μB per formula unit. The volume comes out at 57 Å³/cell. The space group is Pm (6).

***

Entry from Alexandria via LeMat-Bulk: a PBEsol-optimized structure of MnPtW2 (SCAN).

a b c (Å): 3.8135 3.8135 3.9126
angles (deg): 90.00 90.00 90.00
Site moments in Bohr magnetons follow the coordinates.
Atoms (fractional coordinates):
Mn (0.5000, 0.5000, 0.5000)  2.28
Pt (0.0000, 0.0000, 0.5000)  -0.15
W (0.0000, 0.5000, 0.0000)  -0.33
W (0.5000, 0.0000, 0.0000)  -0.33

Computed properties:
The excess energy over the best structure of this formula in the dataset is 0.0000 eV/atom. For the electronic total energy, the calculation gives -57.11 eV/atom. The value obtained for the formation energy is -0.1559 eV/atom. Its magnetic moment is 1.4 μB per formula unit. The volume comes out at 57 Å³/cell. The space group is P4/mmm (123).